# 1
A PBEsol-optimized structure of LiBe2P, computed with meta-GGA SCAN.

POSCAR file:
```
LiBe2P
1.0
-1.722 1.722 3.486
1.722 -1.722 3.486
1.722 1.722 -3.486
Li Be P
1 2 1
direct
0.000 0.000 0.000
0.250 0.750 0.500
0.750 0.250 0.500
0.500 0.500 0.000
```

Properties
formation enthalpy at 0 K	0.0730	eV per atom
symmetry	I4/mmm


# 2
A PBEsol-optimized structure of LiBePb, computed with meta-GGA SCAN.

POSCAR file:
```
LiBePb
1.0
3.227 0.000 0.000
-1.614 2.795 0.000
0.000 0.000 6.487
Li Be Pb
1 1 1
direct
0.000 0.000 0.000
0.667 0.333 0.302
0.333 0.667 0.619
```

Properties
formation enthalpy at 0 K	0.3968	eV per atom
symmetry	P3m1


# 3
A PBEsol-optimized structure of LiBe2Pb, computed with meta-GGA SCAN.

POSCAR file:
```
LiBe2Pb
1.0
0.000 3.080 3.080
3.080 0.000 3.080
3.080 3.080 0.000
Li Be Pb
1 2 1
direct
0.000 0.000 0.000
0.250 0.250 0.250
0.500 0.500 0.500
0.750 0.750 0.750
```

Properties
formation enthalpy at 0 K	0.3576	eV per atom
symmetry	F-43m


# 4
A PBEsol-optimized structure of LiBe2Pb, computed with meta-GGA SCAN.

POSCAR file:
```
LiBe2Pb
1.0
3.076 0.000 0.000
0.000 4.198 0.000
-0.620 0.000 4.817
Li Be Pb
1 2 1
direct
0.000 0.000 0.000
0.379 0.500 0.202
0.621 0.500 0.798
0.500 0.000 0.500
```

Properties
formation enthalpy at 0 K	0.3558	eV per atom
symmetry	P2/m


# 5
A PBEsol-optimized structure of LiBe2Pb, computed with meta-GGA SCAN.

POSCAR file:
```
LiBe2Pb
1.0
3.872 0.000 0.000
0.000 3.872 0.000
0.000 0.000 3.841
Li Be Pb
1 2 1
direct
0.000 0.000 0.000
0.000 0.500 0.500
0.500 0.000 0.500
0.500 0.500 0.000
```

Properties
formation enthalpy at 0 K	0.3120	eV per atom
symmetry	P4/mmm


# 6
A PBEsol-optimized structure of LiBePb, computed with meta-GGA SCAN.

POSCAR file:
```
LiBePb
1.0
0.000 3.046 3.046
3.046 0.000 3.046
3.046 3.046 0.000
Li Be Pb
1 1 1
direct
0.000 0.000 0.000
0.500 0.500 0.500
0.750 0.750 0.750
```

Properties
formation enthalpy at 0 K	0.1358	eV per atom
symmetry	F-43m


# 7
A PBEsol-optimized structure of LiBePt2Pb, computed with meta-GGA SCAN.

POSCAR file:
```
LiBePt2Pb
1.0
4.277 0.000 0.000
0.000 4.277 0.000
0.000 0.000 4.523
Li Be Pt Pb
1 1 2 1
direct
0.000 0.000 0.000
0.500 0.500 0.500
0.000 0.500 0.000
0.500 0.000 0.000
0.000 0.000 0.500
```

Properties
formation enthalpy at 0 K	0.6587	eV per atom
symmetry	P4/mmm


# 8
A PBEsol-optimized structure of Li2BePd2, computed with meta-GGA SCAN.

POSCAR file:
```
Li2BePd2
1.0
5.834 0.000 0.000
0.000 5.834 0.000
0.000 0.000 4.045
Li Be Pd
4 2 4
direct
0.162 0.338 0.000
0.338 0.838 0.000
0.662 0.162 0.000
0.838 0.662 0.000
0.000 0.000 0.500
0.500 0.500 0.500
0.156 0.656 0.500
0.344 0.156 0.500
0.656 0.844 0.500
0.844 0.344 0.500
```

Properties
formation enthalpy at 0 K	-0.4501	eV per atom
symmetry	P4/mbm


# 9
A PBEsol-optimized structure of LiBe2PdRu, computed with meta-GGA SCAN.

POSCAR file:
```
LiBe2PdRu
1.0
4.209 0.000 0.000
0.000 4.209 0.000
0.000 0.000 4.727
Li Be Pd Ru
1 2 1 1
direct
0.000 0.000 0.000
0.000 0.500 0.500
0.500 0.000 0.500
0.500 0.500 0.000
0.500 0.500 0.500
```

Properties
formation enthalpy at 0 K	0.6007	eV per atom
symmetry	P4/mmm


# 10
A PBEsol-optimized structure of LiBePt2, computed with meta-GGA SCAN.

POSCAR file:
```
LiBePt2
1.0
4.021 0.000 0.000
0.000 4.021 0.000
0.000 0.000 2.842
Li Be Pt
1 1 2
direct
0.000 0.000 0.000
0.500 0.500 0.000
0.000 0.500 0.500
0.500 0.000 0.500
```

Properties
formation enthalpy at 0 K	-0.8397	eV per atom
symmetry	P4/mmm


# 11
A PBEsol-optimized structure of LiBePt, computed with meta-GGA SCAN.

POSCAR file:
```
LiBePt
1.0
0.000 2.741 2.741
2.741 0.000 2.741
2.741 2.741 0.000
Li Be Pt
1 1 1
direct
0.000 0.000 0.000
0.500 0.500 0.500
0.750 0.750 0.750
```

Properties
formation enthalpy at 0 K	-0.3004	eV per atom
symmetry	F-43m


# 12
A PBEsol-optimized structure of LiBePt2, computed with meta-GGA SCAN.

POSCAR file:
```
LiBePt2
1.0
0.000 2.969 2.969
2.969 0.000 2.969
2.969 2.969 0.000
Li Be Pt
1 1 2
direct
0.000 0.000 0.000
0.250 0.250 0.250
0.500 0.500 0.500
0.750 0.750 0.750
```

Properties
formation enthalpy at 0 K	-0.3731	eV per atom
symmetry	F-43m


Q: Which of these has the highest formation enthalpy at 0 K?
A: LiBePt2Pb